Ba2PaInTe5 (PBE, optimized geometry); M_tot = 2.70 μB per cell; formation energy (no corrections) = -1.0890 eV/atom; energy = -4.621 eV/atom; crystal system = orthorhombic
1.0
-1.3661 4.4653 -0.5095
-8.2383 -5.3320 -2.9885
-4.9623 0.0355 13.6158
Ba Pa In Te
4 2 2 10
direct
0.8649 0.7298 0.8097
0.1107 0.2214 0.6864
0.1351 0.2702 0.3097
0.8893 0.7786 0.1864
0.7921 0.5841 0.5153
0.2079 0.4159 0.0153
0.5315 0.0631 0.9522
0.4685 0.9369 0.4522
0.3612 0.7224 0.0011
0.6866 0.3731 0.8721
0.4913 0.9826 0.7609
0.2853 0.5706 0.6569
0.9433 0.8865 0.5693
0.6388 0.2776 0.5011
0.3134 0.6269 0.3721
0.5087 0.0174 0.2609
0.7147 0.4294 0.1569
0.0567 0.1135 0.0693